1.
PrY2C | PBE | optimized geometry

Properties
space-group type: R-3m (166)
formation energy: -0.11 eV per atom

a = 10.129 Å, b = 10.129 Å, c = 10.129 Å
α = 20.25°, β = 20.25°, γ = 20.25°
Atoms (fractional coordinates):
Pr (0.000, 0.000, 0.000)
Y (0.121, 0.121, 0.121)
Y (0.879, 0.879, 0.879)
C (0.500, 0.500, 0.500)

2.
MgAgSe2 | PBE | optimized geometry

Properties
space-group type: Pmm2 (25)
energy relative to the elements, uncorrected: -0.618 eV per atom

a = 3.904 Å, b = 5.511 Å, c = 3.904 Å
α = 90.00°, β = 90.00°, γ = 90.00°
Atoms (fractional coordinates):
Mg (0.000, 0.000, 0.000)
Ag (0.500, 0.500, 0.502)
Se (0.000, 0.500, 0.002)
Se (0.500, 0.000, 0.500)

3.
BiMo3As | PBE | optimized geometry

Properties
space-group type: Pm-3m (221)
formation energy: 1.06 eV per atom
energy above the lowest structure with this stoichiometry: 0.000 eV/atom

a = 4.701 Å, b = 4.701 Å, c = 4.701 Å
α = 90.00°, β = 90.00°, γ = 90.00°
Atoms (fractional coordinates):
Bi (0.000, 0.000, 0.000)
Mo (0.000, 0.500, 0.500)
Mo (0.500, 0.000, 0.500)
Mo (0.500, 0.500, 0.000)
As (0.500, 0.500, 0.500)

4.
MgSn3Br8 | PBE | optimized geometry

Properties
space-group type: C222 (21)
energy relative to the elements, uncorrected: -0.926 eV per atom

a = 7.475 Å, b = 7.475 Å, c = 8.443 Å
α = 90.00°, β = 90.00°, γ = 111.70°
Atoms (fractional coordinates):
Mg (0.000, 0.000, 0.000)
Sn (0.000, 0.000, 0.500)
Sn (0.000, 0.500, 0.245)
Sn (0.500, 0.000, 0.755)
Br (0.219, 0.781, 0.000)
Br (0.225, 0.240, 0.227)
Br (0.240, 0.225, 0.773)
Br (0.244, 0.756, 0.500)
Br (0.756, 0.244, 0.500)
Br (0.760, 0.775, 0.773)
Br (0.775, 0.760, 0.227)
Br (0.781, 0.219, 0.000)

5.
CsAlCd2Hg | PBE | optimized geometry

Properties
space-group type: P4/mmm (123)
formation energy: 0.03 eV per atom

a = 5.528 Å, b = 5.528 Å, c = 5.524 Å
α = 90.00°, β = 90.00°, γ = 90.00°
Atoms (fractional coordinates):
Cs (0.000, 0.000, 0.000)
Al (0.500, 0.500, 0.500)
Cd (0.000, 0.500, 0.500)
Cd (0.500, 0.000, 0.500)
Hg (0.500, 0.500, 0.000)

6.
BaPmIr | PBE | optimized geometry

Properties
space-group type: I4mm (107)
formation energy: -0.25 eV per atom
energy above the lowest structure with this stoichiometry: 0.148 eV/atom

a = 7.686 Å, b = 7.686 Å, c = 7.686 Å
α = 152.30°, β = 152.30°, γ = 39.58°
Atoms (fractional coordinates):
Ba (0.000, 0.000, 0.000)
Pm (0.243, 0.243, 0.000)
Ir (0.648, 0.648, 0.000)

7.
Li2CrIr | PBE | optimized geometry

Properties
space-group type: I-42d (122)
formation energy: 0.32 eV per atom
energy above the lowest structure with this stoichiometry: 0.302 eV/atom

a = 9.751 Å, b = 9.751 Å, c = 9.751 Å
α = 159.63°, β = 159.63°, γ = 28.97°
Atoms (fractional coordinates):
Li (0.119, 0.625, 0.994)
Li (0.375, 0.369, 0.494)
Li (0.631, 0.125, 0.006)
Li (0.875, 0.881, 0.506)
Cr (0.250, 0.750, 0.500)
Cr (0.500, 0.500, 0.000)
Ir (0.000, 0.000, 0.000)
Ir (0.750, 0.250, 0.500)

8.
Dy2PtS | PBE | optimized geometry

Properties
space-group type: Cmcm (63)
energy above the lowest structure with this stoichiometry: 0.000 eV/atom
energy relative to the elements, uncorrected: -1.619 eV per atom

a = 11.326 Å, b = 11.326 Å, c = 4.128 Å
α = 90.00°, β = 90.00°, γ = 160.55°
Atoms (fractional coordinates):
Dy (0.067, 0.933, 0.750)
Dy (0.317, 0.683, 0.750)
Dy (0.683, 0.317, 0.250)
Dy (0.933, 0.067, 0.250)
Pt (0.452, 0.548, 0.750)
Pt (0.548, 0.452, 0.250)
S (0.193, 0.807, 0.750)
S (0.807, 0.193, 0.250)

9.
NdY2Zn | PBE | optimized geometry

Properties
space-group type: R-3m (166)
formation energy: 0.11 eV per atom
energy above the lowest structure with this stoichiometry: 0.280 eV/atom

a = 11.552 Å, b = 11.552 Å, c = 11.552 Å
α = 17.48°, β = 17.48°, γ = 17.48°
Atoms (fractional coordinates):
Nd (0.000, 0.000, 0.000)
Y (0.102, 0.102, 0.102)
Y (0.898, 0.898, 0.898)
Zn (0.500, 0.500, 0.500)

10.
Er2PdF | PBE | optimized geometry

Properties
space-group type: R-3m (166)
energy relative to the elements, uncorrected: -1.551 eV per atom

a = 6.322 Å, b = 6.322 Å, c = 6.322 Å
α = 36.83°, β = 36.83°, γ = 36.83°
Atoms (fractional coordinates):
Er (0.245, 0.245, 0.245)
Er (0.755, 0.755, 0.755)
Pd (0.000, 0.000, 0.000)
F (0.500, 0.500, 0.500)

11.
Sm4Tl2SeS | PBE | optimized geometry

Properties
space-group type: P2/m (10)
energy relative to the elements, uncorrected: -1.127 eV per atom

a = 6.978 Å, b = 3.999 Å, c = 8.322 Å
α = 90.00°, β = 105.94°, γ = 90.00°
Atoms (fractional coordinates):
Sm (0.228, 0.000, 0.209)
Sm (0.255, 0.500, 0.785)
Sm (0.745, 0.500, 0.215)
Sm (0.772, 0.000, 0.791)
Tl (0.000, 0.000, 0.500)
Tl (0.500, 0.500, 0.500)
Se (0.500, 0.000, 0.000)
S (0.000, 0.500, 0.000)

12.
Mg2TlPd5 | PBE | optimized geometry

Properties
space-group type: Pbam (55)
formation energy: -0.53 eV per atom

a = 5.655 Å, b = 11.162 Å, c = 4.191 Å
α = 90.00°, β = 90.00°, γ = 90.00°
Atoms (fractional coordinates):
Mg (0.192, 0.139, 0.000)
Mg (0.308, 0.639, 0.000)
Mg (0.692, 0.361, 0.000)
Mg (0.808, 0.861, 0.000)
Tl (0.000, 0.500, 0.500)
Tl (0.500, 0.000, 0.500)
Pd (0.000, 0.000, 0.500)
Pd (0.053, 0.749, 0.500)
Pd (0.216, 0.381, 0.000)
Pd (0.284, 0.881, 0.000)
Pd (0.447, 0.249, 0.500)
Pd (0.500, 0.500, 0.500)
Pd (0.553, 0.751, 0.500)
Pd (0.716, 0.119, 0.000)
Pd (0.784, 0.619, 0.000)
Pd (0.947, 0.251, 0.500)

13.
Er2AgSe4 | PBE | optimized geometry

Properties
space-group type: P2_1/m (11)
energy relative to the elements, uncorrected: -1.224 eV per atom

a = 6.907 Å, b = 5.627 Å, c = 8.765 Å
α = 90.00°, β = 98.96°, γ = 90.00°
Atoms (fractional coordinates):
Er (0.153, 0.250, 0.353)
Er (0.237, 0.250, 0.934)
Er (0.763, 0.750, 0.066)
Er (0.847, 0.750, 0.647)
Ag (0.378, 0.750, 0.535)
Ag (0.622, 0.250, 0.465)
Se (0.021, 0.750, 0.374)
Se (0.098, 0.750, 0.914)
Se (0.451, 0.505, 0.212)
Se (0.451, 0.995, 0.212)
Se (0.549, 0.005, 0.788)
Se (0.549, 0.495, 0.788)
Se (0.902, 0.250, 0.086)
Se (0.979, 0.250, 0.626)